The following is a PBE calculation of crystalline Tl2IO at its relaxed geometry, from the Alexandria database.

Cell lengths 7.508, 7.508, 8.762 Å; angles 90.00, 90.00, 90.00 degrees
Space group I-42d (No. 122)
Unique sites:
Tl 0.147 0.750 0.125
I 0.000 0.000 0.500
O 0.000 0.000 0.000

Mass density (g cm⁻³): 7.42
Total magnetic moment (μB/f.u.): 0.0
ΔE_f (raw) (eV per atom): -0.442
DOS(E_F) (states/eV per cell): 14.90

***

The following is a PBE calculation of crystalline TmTl3I2O9 at its relaxed geometry, from the Alexandria database.

Cell lengths 5.9816, 5.9816, 7.2771 Å; angles 90.00, 90.00, 120.00 degrees
Space group P-3m1 (No. 164)
Unique sites:
Tm 0.0000 0.0000 0.0000
Tl 0.0000 0.0000 0.5000
Tl 0.3333 0.6667 0.1835
I 0.3333 0.6667 0.6754
O 0.0000 0.5000 0.5000
O 0.1802 0.3605 0.8243

Mass density (g cm⁻³): 8.69
Total magnetic moment (μB/f.u.): 0.0
ΔE_f (raw) (eV per atom): -0.941
DOS(E_F) (states/eV per cell): 0.83

***

The following is a PBE calculation of crystalline UTlI2O8 at its relaxed geometry, from the Alexandria database.

Cell lengths 6.4982, 6.4982, 7.6695 Å; angles 90.00, 90.00, 120.00 degrees
Space group P-3m1 (No. 164)
Unique sites:
U 0.0000 0.0000 0.0000
Tl 0.0000 0.0000 0.5000
I 0.3333 0.6667 0.8191
O 0.1548 0.3096 0.8343
O 0.3333 0.6667 0.5871

Mass density (g cm⁻³): 4.88
Total magnetic moment (μB/f.u.): 1.0
ΔE_f (raw) (eV per atom): -1.110
DOS(E_F) (states/eV per cell): 0.88

***

The following is a PBE calculation of crystalline U3Tl2I4O20 at its relaxed geometry, from the Alexandria database.

Cell lengths 7.097, 8.294, 9.336 Å; angles 90.57, 105.11, 91.54 degrees
Space group P-1 (No. 2)
Unique sites:
U 0.000 0.000 0.000
U 0.450 0.085 0.810
Tl 0.252 0.597 0.840
I 0.122 0.788 0.370
I 0.298 0.354 0.446
O 0.044 0.203 0.083
O 0.048 0.291 0.451
O 0.094 0.591 0.280
O 0.111 0.119 0.720
O 0.226 0.898 0.230
O 0.311 0.994 0.989
O 0.352 0.527 0.575
O 0.421 0.881 0.725
O 0.436 0.198 0.566
O 0.472 0.292 0.885

Mass density (g cm⁻³): 6.11
Total magnetic moment (μB/f.u.): 0.0
ΔE_f (raw) (eV per atom): -1.533
DOS(E_F) (states/eV per cell): 0.00